# 1
Compound: NaTi3Sn
Source: Alexandria
Functional: PBE
Structure: optimized geometry

Output
- Space-group type: Pm-3m (221)
- ΔE to the lowest computed polymorph: 0.000 eV per atom
- E_form: 1.004 eV per atom

Lattice parameters (Å, degrees): 5.2644 5.2644 5.2644 90.00 90.00 90.00
Positions (direct):
1 Na 0.0000 0.0000 0.0000
2 Ti 0.0000 0.5000 0.5000
3 Ti 0.5000 0.0000 0.5000
4 Ti 0.5000 0.5000 0.0000
5 Sn 0.5000 0.5000 0.5000



# 2
Compound: NaTi2Sn2
Source: Alexandria
Functional: PBE
Structure: optimized geometry

Output
- Space-group type: P4/mbm (127)
- ΔE to the lowest computed polymorph: 0.000 eV per atom
- E_form: -0.162 eV per atom

Lattice parameters (Å, degrees): 8.4508 8.4508 3.0506 90.00 90.00 90.00
Positions (direct):
1 Na 0.0000 0.0000 0.0000
2 Na 0.5000 0.5000 0.0000
3 Ti 0.1160 0.3840 0.0000
4 Ti 0.3840 0.8840 0.0000
5 Ti 0.6160 0.1160 0.0000
6 Ti 0.8840 0.6160 0.0000
7 Sn 0.1765 0.6765 0.5000
8 Sn 0.3235 0.1765 0.5000
9 Sn 0.6765 0.8235 0.5000
10 Sn 0.8235 0.3235 0.5000



# 3
Compound: Na3TiSn
Source: Alexandria
Functional: PBE
Structure: optimized geometry

Output
- Space-group type: Pm-3m (221)
- ΔE to the lowest computed polymorph: 0.000 eV per atom
- E_form: 0.954 eV per atom

Lattice parameters (Å, degrees): 5.7377 5.7377 5.7377 90.00 90.00 90.00
Positions (direct):
1 Na 0.0000 0.0000 0.5000
2 Na 0.0000 0.5000 0.0000
3 Na 0.5000 0.0000 0.0000
4 Ti 0.5000 0.5000 0.5000
5 Sn 0.0000 0.0000 0.0000



# 4
Compound: NaTl5Sn2
Source: Alexandria
Functional: PBE
Structure: optimized geometry

Output
- Space-group type: I4/mcm (140)
- E_form: -0.006 eV per atom

Lattice parameters (Å, degrees): 9.1650 9.1650 9.1650 125.39 125.39 80.89
Positions (direct):
1 Na 0.2500 0.2500 0.0000
2 Na 0.7500 0.7500 0.0000
3 Tl 0.0000 0.0000 0.0000
4 Tl 0.0098 0.5098 0.8256
5 Tl 0.1842 0.0098 0.5000
6 Tl 0.3158 0.8158 0.8256
7 Tl 0.4902 0.3158 0.5000
8 Tl 0.5000 0.5000 0.0000
9 Tl 0.5098 0.6842 0.5000
10 Tl 0.6842 0.1842 0.1744
11 Tl 0.8158 0.9902 0.5000
12 Tl 0.9902 0.4902 0.1744
13 Sn 0.1309 0.3691 0.5000
14 Sn 0.3691 0.8691 0.2383
15 Sn 0.6309 0.1309 0.7617
16 Sn 0.8691 0.6309 0.5000



# 5
Compound: Na7Tl12Sn
Source: Alexandria
Functional: PBE
Structure: optimized geometry

Output
- Space-group type: R-3 (148)
- ΔE to the lowest computed polymorph: 0.019 eV per atom
- E_form: -0.057 eV per atom

Lattice parameters (Å, degrees): 8.5228 8.5228 8.5228 92.76 92.76 92.76
Positions (direct):
1 Na 0.0000 0.0000 0.0000
2 Na 0.1185 0.4539 0.3449
3 Na 0.3449 0.1185 0.4539
4 Na 0.4539 0.3449 0.1185
5 Na 0.5461 0.6551 0.8815
6 Na 0.6551 0.8815 0.5461
7 Na 0.8815 0.5461 0.6551
8 Tl 0.0142 0.8850 0.3485
9 Tl 0.1150 0.6515 0.9858
10 Tl 0.2385 0.7497 0.6214
11 Tl 0.2503 0.3786 0.7615
12 Tl 0.3485 0.0142 0.8850
13 Tl 0.3786 0.7615 0.2503
14 Tl 0.6214 0.2385 0.7497
15 Tl 0.6515 0.9858 0.1150
16 Tl 0.7497 0.6214 0.2385
17 Tl 0.7615 0.2503 0.3786
18 Tl 0.8850 0.3485 0.0142
19 Tl 0.9858 0.1150 0.6515
20 Sn 0.5000 0.5000 0.5000



# 6
Compound: Na2TlSn3
Source: Alexandria
Functional: PBE
Structure: optimized geometry

Output
- Space-group type: C2/c (15)
- E_form: -0.093 eV per atom

Lattice parameters (Å, degrees): 8.1940 8.1940 6.1377 104.89 104.89 105.73
Positions (direct):
1 Na 0.1068 0.2676 0.0326
2 Na 0.2676 0.1068 0.5326
3 Na 0.7324 0.8932 0.4674
4 Na 0.8932 0.7324 0.9674
5 Tl 0.4140 0.5860 0.7500
6 Tl 0.5860 0.4140 0.2500
7 Sn 0.0301 0.6887 0.4984
8 Sn 0.2974 0.7026 0.2500
9 Sn 0.3113 0.9699 0.0016
10 Sn 0.6887 0.0301 0.9984
11 Sn 0.7026 0.2974 0.7500
12 Sn 0.9699 0.3113 0.5016



# 7
Compound: Na2TlSn2
Source: Alexandria
Functional: PBE
Structure: optimized geometry

Output
- Space-group type: I4/mmm (139)
- ΔE to the lowest computed polymorph: 0.149 eV per atom
- E_form: 0.027 eV per atom

Lattice parameters (Å, degrees): 7.8078 7.8078 7.8078 145.14 145.14 50.12
Positions (direct):
1 Na 0.2500 0.7500 0.5000
2 Na 0.7500 0.2500 0.5000
3 Tl 0.0000 0.0000 0.0000
4 Sn 0.4033 0.4033 0.0000
5 Sn 0.5967 0.5967 0.0000



# 8
Compound: Na3Tl2Sn2
Source: Alexandria
Functional: PBE
Structure: optimized geometry

Output
- Space-group type: C2/m (12)
- ΔE to the lowest computed polymorph: 0.000 eV per atom
- E_form: -0.124 eV per atom

Lattice parameters (Å, degrees): 5.5165 5.5165 8.0482 106.12 106.12 56.41
Positions (direct):
1 Na 0.0000 0.0000 0.0000
2 Na 0.1386 0.1386 0.4310
3 Na 0.8614 0.8614 0.5690
4 Tl 0.2910 0.2910 0.8555
5 Tl 0.7090 0.7090 0.1445
6 Sn 0.4189 0.4189 0.2811
7 Sn 0.5811 0.5811 0.7189



# 9
Compound: Na4TlSn2
Source: Alexandria
Functional: PBE
Structure: optimized geometry

Output
- Space-group type: I4/mmm (139)
- ΔE to the lowest computed polymorph: 0.211 eV per atom
- E_form: 0.072 eV per atom

Lattice parameters (Å, degrees): 8.6935 8.6935 8.6935 140.65 140.65 56.87
Positions (direct):
1 Na 0.0000 0.5000 0.5000
2 Na 0.2033 0.2033 0.0000
3 Na 0.5000 0.0000 0.5000
4 Na 0.7967 0.7967 0.0000
5 Tl 0.0000 0.0000 0.0000
6 Sn 0.4067 0.4067 0.0000
7 Sn 0.5933 0.5933 0.0000



# 10
Compound: Na2Tl3Sn3
Source: Alexandria
Functional: PBE
Structure: optimized geometry

Output
- Space-group type: Pmmm (47)
- E_form: -0.081 eV per atom

Lattice parameters (Å, degrees): 4.5411 5.1393 9.5010 90.00 90.00 90.00
Positions (direct):
1 Na 0.0000 0.0000 0.2504
2 Na 0.0000 0.0000 0.7496
3 Tl 0.0000 0.5000 0.0000
4 Tl 0.5000 0.0000 0.0000
5 Tl 0.5000 0.0000 0.5000
6 Sn 0.0000 0.5000 0.5000
7 Sn 0.5000 0.5000 0.2552
8 Sn 0.5000 0.5000 0.7448



# 11
Compound: Na5Tl2Sn12
Source: Alexandria
Functional: PBE
Structure: optimized geometry

Output
- Space-group type: C2/m (12)
- E_form: -0.061 eV per atom

Lattice parameters (Å, degrees): 13.6266 13.6266 6.1699 102.41 102.41 30.96
Positions (direct):
1 Na 0.0000 0.0000 0.0000
2 Na 0.2168 0.2168 0.8321
3 Na 0.3442 0.3442 0.4012
4 Na 0.6558 0.6558 0.5988
5 Na 0.7832 0.7832 0.1679
6 Tl 0.2617 0.7383 0.5000
7 Tl 0.7383 0.2617 0.5000
8 Sn 0.0040 0.4098 0.2964
9 Sn 0.1034 0.6816 0.0710
10 Sn 0.1128 0.1128 0.4114
11 Sn 0.3184 0.8966 0.9290
12 Sn 0.4098 0.0040 0.2964
13 Sn 0.4477 0.4477 0.8584
14 Sn 0.5523 0.5523 0.1416
15 Sn 0.5903 0.9960 0.7036
16 Sn 0.6816 0.1034 0.0710
17 Sn 0.8872 0.8872 0.5886
18 Sn 0.8966 0.3184 0.9290
19 Sn 0.9960 0.5903 0.7036



# 12
Compound: Na2Tl2Sn3
Source: Alexandria
Functional: PBE
Structure: optimized geometry

Output
- Space-group type: Cmmm (65)
- ΔE to the lowest computed polymorph: 0.014 eV per atom
- E_form: -0.069 eV per atom

Lattice parameters (Å, degrees): 11.8470 11.8470 3.4262 90.00 90.00 155.88
Positions (direct):
1 Na 0.1442 0.8558 0.0000
2 Na 0.8558 0.1442 0.0000
3 Tl 0.2909 0.7091 0.5000
4 Tl 0.7091 0.2909 0.5000
5 Sn 0.0000 0.0000 0.0000
6 Sn 0.4326 0.5674 0.5000
7 Sn 0.5674 0.4326 0.5000



# 13
Compound: Na2Tl5Sn
Source: Alexandria
Functional: PBE
Structure: optimized geometry

Output
- Space-group type: Pbam (55)
- E_form: -0.064 eV per atom

Lattice parameters (Å, degrees): 6.5966 13.2733 5.2100 90.00 90.00 90.00
Positions (direct):
1 Na 0.2376 0.1230 0.0000
2 Na 0.2624 0.6230 0.0000
3 Na 0.7376 0.3770 0.0000
4 Na 0.7624 0.8770 0.0000
5 Tl 0.0000 0.0000 0.5000
6 Tl 0.0178 0.7459 0.5000
7 Tl 0.2353 0.3740 0.0000
8 Tl 0.2647 0.8740 0.0000
9 Tl 0.4822 0.2459 0.5000
10 Tl 0.5000 0.5000 0.5000
11 Tl 0.5178 0.7541 0.5000
12 Tl 0.7353 0.1260 0.0000
13 Tl 0.7647 0.6260 0.0000
14 Tl 0.9822 0.2541 0.5000
15 Sn 0.0000 0.5000 0.5000
16 Sn 0.5000 0.0000 0.5000



# 14
Compound: Na3TlSn
Source: Alexandria
Functional: PBE
Structure: optimized geometry

Output
- Space-group type: Pm-3m (221)
- ΔE to the lowest computed polymorph: 0.454 eV per atom
- E_form: 0.316 eV per atom

Lattice parameters (Å, degrees): 5.7124 5.7124 5.7124 90.00 90.00 90.00
Positions (direct):
1 Na 0.0000 0.0000 0.5000
2 Na 0.0000 0.5000 0.0000
3 Na 0.5000 0.0000 0.0000
4 Tl 0.0000 0.0000 0.0000
5 Sn 0.5000 0.5000 0.5000



# 15
Compound: Na5Tl4Sn4
Source: Alexandria
Functional: PBE
Structure: optimized geometry

Output
- Space-group type: I4/m (87)
- E_form: -0.064 eV per atom

Lattice parameters (Å, degrees): 9.2657 9.2657 9.2657 94.05 94.05 149.18
Positions (direct):
1 Na 0.0000 0.0000 0.0000
2 Na 0.2894 0.3772 0.6666
3 Na 0.3772 0.7106 0.0878
4 Na 0.6228 0.2894 0.9122
5 Na 0.7106 0.6228 0.3334
6 Tl 0.0703 0.2362 0.3065
7 Tl 0.2362 0.9297 0.1659
8 Tl 0.7638 0.0703 0.8341
9 Tl 0.9297 0.7638 0.6935
10 Sn 0.1002 0.5835 0.6836
11 Sn 0.4165 0.1002 0.5167
12 Sn 0.5835 0.8998 0.4833
13 Sn 0.8998 0.4165 0.3164



# 16
Compound: Na7Tl2Sn2
Source: Alexandria
Functional: PBE
Structure: optimized geometry

Output
- Space-group type: C2/m (12)
- ΔE to the lowest computed polymorph: 0.012 eV per atom
- E_form: -0.109 eV per atom

Lattice parameters (Å, degrees): 7.8777 7.8777 5.7582 107.67 107.67 79.96
Positions (direct):
1 Na 0.0000 0.0000 0.0000
2 Na 0.0491 0.4110 0.2368
3 Na 0.4110 0.0491 0.2368
4 Na 0.4991 0.4991 0.2424
5 Na 0.5009 0.5009 0.7576
6 Na 0.5890 0.9509 0.7632
7 Na 0.9509 0.5890 0.7632
8 Tl 0.1930 0.8070 0.5000
9 Tl 0.8070 0.1930 0.5000
10 Sn 0.2224 0.2224 0.7411
11 Sn 0.7776 0.7776 0.2589



# 17
Compound: NaTl5Sn2
Source: Alexandria
Functional: PBE
Structure: optimized geometry

Output
- Space-group type: Cmcm (63)
- E_form: -0.005 eV per atom

Lattice parameters (Å, degrees): 6.7883 6.7883 13.6091 90.00 90.00 129.93
Positions (direct):
1 Na 0.1955 0.8046 0.7500
2 Na 0.8046 0.1955 0.2500
3 Tl 0.0806 0.9194 0.2500
4 Tl 0.1307 0.8693 0.5216
5 Tl 0.1307 0.8693 0.9784
6 Tl 0.4179 0.5821 0.6108
7 Tl 0.4179 0.5821 0.8892
8 Tl 0.5821 0.4179 0.1108
9 Tl 0.5821 0.4179 0.3892
10 Tl 0.8693 0.1307 0.0216
11 Tl 0.8693 0.1307 0.4784
12 Tl 0.9194 0.0806 0.7500
13 Sn 0.3249 0.6751 0.1364
14 Sn 0.3249 0.6751 0.3636
15 Sn 0.6751 0.3249 0.6364
16 Sn 0.6751 0.3249 0.8636



# 18
Compound: Na3Tl6Sn
Source: Alexandria
Functional: PBE
Structure: optimized geometry

Output
- Space-group type: Cmc2_1 (36)
- ΔE to the lowest computed polymorph: 0.060 eV per atom
- E_form: -0.022 eV per atom

Lattice parameters (Å, degrees): 9.4977 9.4977 7.6147 90.00 90.00 116.59
Positions (direct):
1 Na 0.1589 0.8411 0.5000
2 Na 0.1795 0.4626 0.8299
3 Na 0.4626 0.1795 0.3299
4 Na 0.5374 0.8205 0.8299
5 Na 0.8205 0.5374 0.3299
6 Na 0.8411 0.1589 0.0000
7 Tl 0.0865 0.4265 0.2517
8 Tl 0.1566 0.1976 0.5226
9 Tl 0.1976 0.1566 0.0226
10 Tl 0.2028 0.7972 0.0653
11 Tl 0.4265 0.0865 0.7517
12 Tl 0.4644 0.5356 0.1500
13 Tl 0.5356 0.4644 0.6500
14 Tl 0.5735 0.9135 0.2517
15 Tl 0.7972 0.2028 0.5653
16 Tl 0.8024 0.8434 0.5226
17 Tl 0.8434 0.8024 0.0226
18 Tl 0.9135 0.5735 0.7517
19 Sn 0.3583 0.6417 0.4945
20 Sn 0.6417 0.3583 0.9945



# 19
Compound: Na3Tl2Sn
Source: Alexandria
Functional: PBE
Structure: optimized geometry

Output
- Space-group type: Immm (71)
- ΔE to the lowest computed polymorph: 0.117 eV per atom
- E_form: -0.006 eV per atom

Lattice parameters (Å, degrees): 9.3308 9.3308 9.3308 159.39 140.09 45.32
Positions (direct):
1 Na 0.0000 0.0000 0.0000
2 Na 0.3395 0.3395 0.0000
3 Na 0.6605 0.6605 0.0000
4 Tl 0.1708 0.6708 0.5000
5 Tl 0.8292 0.3292 0.5000
6 Sn 0.5000 0.0000 0.5000



# 20
Compound: Na4Tl4Sn
Source: Alexandria
Functional: PBE
Structure: optimized geometry

Output
- Space-group type: I4/m (87)
- E_form: -0.113 eV per atom

Lattice parameters (Å, degrees): 7.6825 7.6825 7.6825 95.53 95.53 143.81
Positions (direct):
1 Na 0.1618 0.1626 0.3244
2 Na 0.1626 0.8382 0.0007
3 Na 0.8374 0.1618 0.9993
4 Na 0.8382 0.8374 0.6756
5 Tl 0.1685 0.4998 0.6684
6 Tl 0.5002 0.1685 0.6687
7 Tl 0.4998 0.8315 0.3313
8 Tl 0.8315 0.5002 0.3316
9 Sn 0.5000 0.5000 0.0000